#P
Ho3CuNi3: relaxed, GGA-PBE.

Geometry as POSCAR:
```
Ho3CuNi3
1.0
-0.3033 -3.4092 -2.1320
-2.1644 -0.4273 4.8045
-11.4524 4.0218 -4.8017
Ni Cu Ho
6 2 6
direct
0.0854 0.1708 0.4080 Ni
0.9146 0.8292 0.9080 Ni
0.9146 0.8292 0.5920 Ni
0.0854 0.1708 0.0920 Ni
0.7749 0.5497 0.7500 Ni
0.2251 0.4503 0.2500 Ni
0.5000 0.0000 0.5000 Cu
0.5000 0.0000 0.0000 Cu
0.7987 0.5974 0.1026 Ho
0.2013 0.4026 0.6026 Ho
0.7987 0.5974 0.3974 Ho
0.5175 0.0350 0.2500 Ho
0.2013 0.4026 0.8974 Ho
0.4825 0.9650 0.7500 Ho
```

Space-group type ... Cmcm
Theoretical density ... 9482 kg/m3


#Q
Ho3CuNi3: relaxed, GGA-PBE.

Geometry as POSCAR:
```
Ho3CuNi3
1.0
4.2530 0.0000 0.0000
0.0000 8.5501 0.0000
0.0000 -4.2750 7.4046
Ni Ho Cu
6 6 2
direct
0.7500 0.1459 0.1803 Ni
0.7500 0.8197 0.9656 Ni
0.2500 0.8541 0.8197 Ni
0.2500 0.1803 0.0344 Ni
0.2500 0.9656 0.1459 Ni
0.7500 0.0344 0.8541 Ni
0.7500 0.9143 0.3166 Ho
0.2500 0.0857 0.6834 Ho
0.7500 0.4023 0.0857 Ho
0.2500 0.5977 0.9143 Ho
0.2500 0.3166 0.4023 Ho
0.7500 0.6834 0.5977 Ho
0.7500 0.3333 0.6667 Cu
0.2500 0.6667 0.3333 Cu
```

Space-group type ... P6_3/m
Theoretical density ... 9058 kg/m3


Consider the structures shown above. The most stable of them is #P.